(1)
This record from the Alexandria database describes a geometry-optimized Tb3Si12Ru4 structure. The functional is PBE.

Geometry as extended XYZ:
```
38
Lattice="-9.7960 1.8098 1.8208 6.2843 -7.3464 3.0150 2.0325 4.4225 6.5394" Properties=species:S:1:pos:R:3 pbc="T T T"
Tb -0.7396 -0.5571 5.6876
Tb 0.0000 0.0000 0.0000
Tb -3.3839 4.2056 5.8291
Tb -6.1355 -0.7416 4.9490
Tb 1.9047 -5.3197 5.5461
Tb 4.6563 -0.3725 6.4262
Si -5.4772 2.1406 5.3358
Si 1.5467 -4.6487 2.6632
Si 3.9981 -3.2547 6.0394
Si -5.0583 -0.8879 2.1727
Si 0.5249 1.8424 7.0583
Si -2.0040 -2.9565 4.3169
Si 0.0902 0.5481 2.9877
Si -1.5693 -1.6622 8.3875
Si 5.8629 -3.0782 7.6584
Si 4.9678 -5.0452 4.6310
Si -3.1614 -0.6608 3.7475
Si -2.0882 1.6936 7.3477
Si -7.3421 1.9641 3.7168
Si -6.4469 3.9310 6.7442
Si 1.6823 -0.4533 7.6277
Si 0.6091 -2.8077 4.0275
Si -1.6576 2.0458 4.2680
Si -3.5901 -1.0141 6.8273
Si -2.8283 -0.4089 1.2110
Si -2.4194 1.4406 9.8843
Si 0.1785 -3.1599 7.1072
Si 2.1109 -0.1000 4.5479
Si 1.3492 -0.7052 10.1642
Si 0.9402 -2.5547 1.4909
Ru -3.4564 0.9899 5.4858
Ru 3.5675 -5.7994 2.8132
Ru 1.9773 -2.1040 5.8894
Ru -7.0792 0.2628 2.0226
Ru 0.8300 2.0721 4.7114
Ru -2.3091 -3.1862 6.6638
Ru -1.0536 -1.5066 2.6361
Ru -0.4255 0.3925 8.7391
```

Output
SG ... Cmce, No. 64
Total moment ... 0.00 μB per formula unit
DFT total energy ... -6.7560 eV/atom



(2)
This record from the Alexandria database describes a geometry-optimized PuTiS3 structure. The functional is PBE.

Geometry as extended XYZ:
```
20
Lattice="-5.9211 1.2976 -0.5839 -1.6438 -5.4057 4.6553 0.6955 6.8778 8.2319" Properties=species:S:1:pos:R:3 pbc="T T T"
Pu -0.8219 -2.7028 2.3277
Pu -2.6128 4.0877 3.8240
Pu -2.9606 0.6488 -0.2920
Pu -0.4741 0.7361 6.4436
Ti -2.7926 1.6773 9.3624
Ti -1.0495 0.6632 3.0439
Ti -4.0768 1.0924 2.9410
Ti -5.8199 2.1066 9.2595
S -5.3996 0.9436 0.8818
S -4.3193 1.3390 7.4787
S -4.0918 3.5883 10.1708
S -1.6973 -0.4231 8.7294
S -1.4698 1.8262 11.4216
S -2.5501 1.4308 4.8247
S -2.7776 -0.8185 2.1325
S -5.1721 3.1929 3.5739
S -3.0641 5.7684 5.9672
S -6.0442 0.0235 4.0003
S -3.8053 -2.9986 6.3362
S -0.8252 2.7463 8.3030
```

Output
Offset from the most stable computed form ... 1.79 kcal/mol of atoms
SG ... Pnma, No. 62
Total moment ... 5.54 μB per formula unit
DFT total energy ... -8.3632 eV/atom



(3)
This record from the Alexandria database describes a geometry-optimized VAg2As structure. The functional is PBE.

Geometry as extended XYZ:
```
8
Lattice="7.6834 0.0000 0.0000 0.0000 7.6834 0.0000 3.8417 3.8417 2.5892" Properties=species:S:1:pos:R:3 pbc="T T T"
As 0.0000 0.0000 0.0000
As 7.6834 3.8417 1.2946
Ag 5.9674 1.9208 0.6473
Ag 1.7159 5.7625 0.6473
Ag 5.7625 5.5576 1.9419
Ag 9.6042 9.8091 1.9419
V 3.8417 3.8417 0.0000
V 3.8417 7.6834 1.2946
```

Output
SG ... I-42d, No. 122
Total moment ... 2.59 μB per formula unit
E_form ... 411 meV per atom
DFT total energy ... -4.4564 eV/atom



(4)
This record from the Alexandria database describes a geometry-optimized ZnRe2Ir structure. The functional is PBE.

Geometry as extended XYZ:
```
4
Lattice="4.0623 0.0000 0.0000 0.0000 2.7579 0.0061 0.0000 2.7458 5.2126" Properties=species:S:1:pos:R:3 pbc="T T T"
Ir 2.0311 4.1277 3.9141
Re 0.0000 2.7582 0.0767
Re 0.0000 2.7515 2.5388
Zn 2.0311 1.3759 1.3047
```

Output
Offset from the most stable computed form ... 2.59 kcal/mol of atoms
SG ... Pmmm, No. 47
Total moment ... 0.00 μB per formula unit
E_form ... 109 meV per atom
DFT total energy ... -8.6492 eV/atom



(5)
This record from the Alexandria database describes a geometry-optimized BaNpNi2Sb2 structure. The functional is PBE.

Geometry as extended XYZ:
```
6
Lattice="4.4137 0.0000 0.0000 -2.2069 3.8224 0.0000 0.0000 0.0000 8.7499" Properties=species:S:1:pos:R:3 pbc="T T T"
Ba 0.0000 0.0000 0.0000
Np 0.0000 0.0000 4.3749
Ni 2.2069 1.2741 5.7867
Ni 0.0000 2.5483 2.9631
Sb 2.2069 1.2741 2.4246
Sb 0.0000 2.5483 6.3253
```

Output
SG ... P-3m1, No. 164
Total moment ... 3.16 μB per formula unit
DFT total energy ... -6.2674 eV/atom



(6)
This record from the Alexandria database describes a geometry-optimized Ba4SrAl structure. The functional is PBE.

Geometry as extended XYZ:
```
6
Lattice="0.0000 5.3812 5.3812 5.3812 0.0000 5.3812 5.3812 5.3812 0.0000" Properties=species:S:1:pos:R:3 pbc="T T T"
Ba 4.0199 6.7424 6.7424
Ba 6.7424 6.7424 4.0199
Ba 6.7424 4.0199 6.7424
Ba 4.0199 4.0199 4.0199
Sr 8.0718 8.0718 8.0718
Al 0.0000 0.0000 0.0000
```

Output
SG ... F-43m, No. 216
Total moment ... 0.00 μB per formula unit
E_form ... 402 meV per atom
DFT total energy ... -1.7840 eV/atom



(7)
This record from the Alexandria database describes a geometry-optimized TaBiTe2 structure. The functional is PBE.

Geometry as extended XYZ:
```
8
Lattice="-2.8476 -2.1248 -0.2170 3.8756 -5.0733 -2.0139 -1.5819 -4.3891 9.6314" Properties=species:S:1:pos:R:3 pbc="T T T"
Ta -0.0832 -1.9384 2.6416
Ta 0.9296 -6.1948 1.1458
Bi 1.8191 -8.4259 5.7353
Bi -2.7832 -7.6671 7.3409
Te -0.7402 -3.8767 0.6291
Te -1.2403 -6.4423 3.0246
Te -1.6466 -3.0476 4.6655
Te 2.5061 -5.0872 -0.8950
```

Output
SG ... P1, No. 1
Total moment ... 0.00 μB per formula unit
DFT total energy ... -5.7038 eV/atom



(8)
This record from the Alexandria database describes a geometry-optimized GaTe2Cl2 structure. The functional is PBE.

Geometry as extended XYZ:
```
10
Lattice="9.2593 0.0000 0.0000 0.0000 9.2593 0.0000 0.0000 0.0000 3.1941" Properties=species:S:1:pos:R:3 pbc="T T T"
Te 1.9050 6.5347 1.5970
Te 6.5347 7.3543 1.5970
Te 7.3543 2.7246 1.5970
Te 2.7246 1.9050 1.5970
Ga 0.0000 0.0000 0.0000
Ga 4.6296 4.6296 0.0000
Cl 3.5061 8.1357 0.0000
Cl 8.1357 5.7532 0.0000
Cl 5.7532 1.1236 0.0000
Cl 1.1236 3.5061 0.0000
```

Output
Offset from the most stable computed form ... 4.69 kcal/mol of atoms
SG ... P4/mbm, No. 127
Total moment ... 0.00 μB per formula unit
DFT total energy ... -2.4928 eV/atom